## A
Computed, not measured: a relaxed MgTi2O crystal at the GGA-PBE level of DFT.

Geometry as POSCAR:
```
MgTi2O
1.0
-0.137 4.057 4.708
-4.273 -3.482 2.876
0.437 -1.569 5.469
Mg O Ti
2 2 4
direct
0.000 0.000 0.000 Mg
0.750 0.250 0.500 Mg
0.500 0.500 0.000 O
0.250 0.750 0.500 O
0.486 0.125 0.250 Ti
0.264 0.625 0.250 Ti
0.375 0.514 0.750 Ti
0.875 0.736 0.750 Ti
```

Properties
Calculated volume ... 17.6 Å³/atom
DOS(E_F) ... 0.74 states/eV/atom

---

## B
Computed, not measured: a relaxed MgTi2O crystal at the GGA-PBE level of DFT.

Geometry as POSCAR:
```
MgTi2O
1.0
-1.179 -4.133 1.015
-3.511 -1.837 -1.950
0.555 -3.242 -2.947
Mg O Ti
1 1 2
direct
0.500 0.500 0.500 Mg
0.000 0.000 0.000 O
0.250 0.250 0.250 Ti
0.750 0.750 0.750 Ti
```

Properties
Calculated volume ... 15.2 Å³/atom
DOS(E_F) ... 0.65 states/eV/atom

---

## C
Computed, not measured: a relaxed MgTi2O crystal at the GGA-PBE level of DFT.

Geometry as POSCAR:
```
MgTi2O
1.0
3.009 0.000 0.000
1.505 2.606 0.000
1.505 0.869 7.914
Mg O Ti
1 1 2
direct
0.000 0.000 0.000 Mg
0.500 0.500 0.500 O
0.117 0.117 0.648 Ti
0.883 0.883 0.352 Ti
```

Properties
Calculated volume ... 15.5 Å³/atom
DOS(E_F) ... 0.49 states/eV/atom

---

Most favorable structure: C. The second most favorable one is 2.0 kJ/mol of atoms above it.

---

## A
Computed, not measured: a relaxed MgTi4O8 crystal at the GGA-PBE level of DFT.

Geometry as POSCAR:
```
MgTi4O8
1.0
-5.577 -1.972 1.487
-3.303 -3.467 -3.778
-1.128 -5.877 1.181
Mg Ti O
1 4 8
direct
0.500 0.500 0.500 Mg
0.500 0.500 0.000 Ti
0.500 0.000 0.500 Ti
0.000 0.500 0.500 Ti
0.000 0.000 0.000 Ti
0.754 0.754 0.274 O
0.726 0.246 0.246 O
0.246 0.246 0.726 O
0.246 0.726 0.246 O
0.268 0.268 0.268 O
0.732 0.732 0.732 O
0.754 0.274 0.754 O
0.274 0.754 0.754 O
```

Properties
Calculated volume ... 11.8 Å³/atom
DOS(E_F) ... 0.39 states/eV/atom

---

## B
Computed, not measured: a relaxed MgTi4O8 crystal at the GGA-PBE level of DFT.

Geometry as POSCAR:
```
MgTi4O8
1.0
-2.878 -5.737 3.783
-3.624 -6.430 1.013
3.567 -8.834 1.250
Mg Ti O
1 4 8
direct
0.671 0.671 0.795 Mg
0.374 0.374 0.427 Ti
0.858 0.858 0.797 Ti
0.162 0.162 0.161 Ti
0.647 0.647 0.512 Ti
0.143 0.143 0.379 O
0.540 0.540 0.242 O
0.471 0.471 0.713 O
0.857 0.857 0.588 O
0.826 0.826 0.351 O
0.213 0.213 0.899 O
0.162 0.162 0.656 O
0.781 0.781 0.049 O
```

Properties
Calculated volume ... 12.2 Å³/atom
DOS(E_F) ... 0.47 states/eV/atom

---

Most favorable structure: B. The second most favorable one is 1.9 kJ/mol of atoms above it.

---

## A
Computed, not measured: a relaxed Mg3TiO crystal at the GGA-PBE level of DFT.

Geometry as POSCAR:
```
Mg3TiO
1.0
4.378 0.000 0.000
0.000 4.378 0.000
0.000 0.000 4.378
Mg O Ti
3 1 1
direct
0.000 0.500 0.000 Mg
0.000 0.000 0.500 Mg
0.500 0.000 0.000 Mg
0.000 0.000 0.000 O
0.500 0.500 0.500 Ti
```

Properties
Calculated volume ... 16.8 Å³/atom
DOS(E_F) ... 1.09 states/eV/atom

---

## B
Computed, not measured: a relaxed Mg3TiO crystal at the GGA-PBE level of DFT.

Geometry as POSCAR:
```
Mg3TiO
1.0
-2.936 4.535 -0.807
-0.210 -1.088 -5.348
-4.601 -2.844 0.759
Mg O Ti
3 1 1
direct
0.000 0.500 0.000 Mg
0.000 0.000 0.500 Mg
0.500 0.000 0.000 Mg
0.500 0.500 0.500 O
0.000 0.000 0.000 Ti
```

Properties
Calculated volume ... 32.6 Å³/atom
DOS(E_F) ... 3.25 states/eV/atom

---

Most favorable structure: A. The second most favorable one is 185.5 kJ/mol of atoms above it.